No. 1
## TaMn2Te2 (PBE-GGA)

Data for crystalline TaMn2Te2 at its relaxed geometry.

Unit cell a=7.421 b=7.421 c=3.056 alpha=90.00 beta=90.00 gamma=90.00
Space group P4/mbm (No. 127)
Inequivalent atoms, fractional coordinates:
1 Ta 0.000 0.000 0.000 (multiplicity 2)
2 Mn 0.141 0.359 0.500 (multiplicity 4)
3 Te 0.156 0.656 0.000 (multiplicity 4)

Summary:
Final energy: -6.6951 eV per atom
N(E_F): 1.18 states/eV/atom

=====

No. 2
## TaMnTe2 (PBE-GGA)

Data for crystalline TaMnTe2 at its relaxed geometry.

Unit cell a=3.5749 b=3.5749 c=23.7799 alpha=90.00 beta=90.00 gamma=120.00
Space group R-3m (No. 166, hexagonal axes)
Inequivalent atoms, fractional coordinates:
1 Ta 0.0000 0.0000 0.0000 (multiplicity 3)
2 Mn 0.0000 0.0000 0.5000 (multiplicity 3)
3 Te 0.0000 0.0000 0.2505 (multiplicity 6)

Summary:
Final energy: -6.6319 eV per atom
N(E_F): 0.85 states/eV/atom

=====

No. 3
## TaMnTe2 (PBE-GGA)

Data for crystalline TaMnTe2 at its relaxed geometry.

Unit cell a=3.546 b=3.546 c=7.534 alpha=90.00 beta=90.00 gamma=90.00
Space group P4mm (No. 99)
Inequivalent atoms, fractional coordinates:
1 Ta 0.000 0.000 0.000 (multiplicity 1)
2 Mn 0.500 0.500 0.801 (multiplicity 1)
3 Te 0.000 0.000 0.633 (multiplicity 1)
4 Te 0.500 0.500 0.184 (multiplicity 1)

Summary:
Final energy: -6.8822 eV per atom
N(E_F): 0.84 states/eV/atom

=====

No. 4
## TaMnTe6 (PBE-GGA)

Data for crystalline TaMnTe6 at its relaxed geometry.

Unit cell a=6.512 b=6.753 c=6.886 alpha=69.29 beta=62.60 gamma=62.11
Space group P-1 (No. 2)
Inequivalent atoms, fractional coordinates:
1 Ta 0.000 0.000 0.000 (multiplicity 1)
2 Mn 0.500 0.500 0.500 (multiplicity 1)
3 Te 0.043 0.756 0.736 (multiplicity 2)
4 Te 0.297 0.591 0.191 (multiplicity 2)
5 Te 0.416 0.101 0.690 (multiplicity 2)

Summary:
Final energy: -5.0464 eV per atom
N(E_F): 0.57 states/eV/atom